Version 1
LiInGePd | OQMD via LeMat-Bulk | PBE | relaxed; crystal system = cubic
1.0
0.0000 3.2407 3.2407
3.2407 0.0000 3.2407
3.2407 3.2407 0.0000
Li In Ge Pd
1 1 1 1
direct
0.0000 0.0000 0.0000
0.7500 0.7500 0.7500
0.2500 0.2500 0.2500
0.5000 0.5000 0.5000

=====

Version 2
LiInGePd | OQMD via LeMat-Bulk | PBE | relaxed; crystal system = cubic
1.0
0.0000 3.2558 3.2558
3.2558 0.0000 3.2558
3.2558 3.2558 0.0000
Li In Ge Pd
1 1 1 1
direct
0.0000 0.0000 0.0000
0.7500 0.7500 0.7500
0.5000 0.5000 0.5000
0.2500 0.2500 0.2500

=====

What should be chosen as the most stable of them? Choose version 1.

=====

Version 1
NaInNiGe | OQMD via LeMat-Bulk | PBE | relaxed; total magnetization = 0.00 μB/atom; crystal system = cubic
1.0
0.0000 3.2709 3.2709
3.2709 0.0000 3.2709
3.2709 3.2709 0.0000
Na In Ni Ge
1 1 1 1
direct
0.0000 0.0000 0.0000
0.7500 0.7500 0.7500
0.5000 0.5000 0.5000
0.2500 0.2500 0.2500

=====

Version 2
NaInNiGe | OQMD via LeMat-Bulk | PBE | relaxed; total magnetization = 0.00 μB/atom; crystal system = cubic
1.0
0.0000 3.3285 3.3285
3.3285 0.0000 3.3285
3.3285 3.3285 0.0000
Na In Ni Ge
1 1 1 1
direct
0.0000 0.0000 0.0000
0.7500 0.7500 0.7500
0.2500 0.2500 0.2500
0.5000 0.5000 0.5000

=====

What should be chosen as the most stable of them? Choose version 1.